(1)
First-principles (PBE-GGA) data for an optimized crystal structure of Ba2HoSnSe5, as listed in Alexandria.

Summary:
DOS at the Fermi energy: 6.011 states/eV per cell

abc: 4.468 18.809 13.382
angles: 90.00 90.00 90.00
Space group Cmc2_1 (No. 36)
Asymmetric unit:
Ba (0.000, 0.115, 0.000) x4
Ba (0.000, 0.135, 0.630) x4
Ho (0.000, 0.212, 0.338) x4
Sn (0.000, 0.454, 0.768) x4
Se (0.000, 0.054, 0.380) x4
Se (0.000, 0.287, 0.975) x4
Se (0.000, 0.316, 0.694) x4
Se (0.000, 0.358, 0.318) x4
Se (0.000, 0.494, 0.084) x4

(2)
First-principles (PBE-GGA) data for an optimized crystal structure of Ba2SrHoSe4, as listed in Alexandria.

Summary:
DOS at the Fermi energy: 2.783 states/eV per cell

abc: 7.691 4.417 7.820
angles: 90.00 108.90 90.00
Space group P2/m (No. 10)
Asymmetric unit:
Ba (0.000, 0.000, 0.000) x1
Ba (0.500, 0.500, 0.000) x1
Sr (0.000, 0.500, 0.500) x1
Ho (0.500, 0.000, 0.500) x1
Se (0.256, 0.000, 0.723) x2
Se (0.274, 0.500, 0.284) x2

(3)
First-principles (PBE-GGA) data for an optimized crystal structure of BaTbHo4Se8, as listed in Alexandria.

Summary:
DOS at the Fermi energy: 12.966 states/eV per cell

abc: 8.5772 8.5772 21.0987
angles: 90.00 90.00 120.00
Space group R3m (No. 160, hexagonal axes)
Asymmetric unit:
Ba (0.0000, 0.0000, 0.0000) x3
Tb (0.0000, 0.0000, 0.6275) x3
Ho (0.0000, 0.0000, 0.2509) x3
Ho (0.1688, 0.3377, 0.4585) x9
Se (0.0000, 0.0000, 0.3830) x3
Se (0.0000, 0.0000, 0.8579) x3
Se (0.0453, 0.5226, 0.3824) x9
Se (0.1755, 0.3510, 0.2060) x9

(4)
First-principles (PBE-GGA) data for an optimized crystal structure of BaTb4HoSe8, as listed in Alexandria.

Summary:
DOS at the Fermi energy: 13.126 states/eV per cell

abc: 8.6364 8.6364 21.0883
angles: 90.00 90.00 120.00
Space group R3m (No. 160, hexagonal axes)
Asymmetric unit:
Ba (0.0000, 0.0000, 0.0000) x3
Tb (0.0000, 0.0000, 0.7506) x3
Tb (0.0042, 0.5021, 0.8759) x9
Ho (0.0000, 0.0000, 0.3736) x3
Se (0.0000, 0.0000, 0.1424) x3
Se (0.0000, 0.0000, 0.6183) x3
Se (0.0210, 0.5105, 0.1271) x9
Se (0.1901, 0.3803, 0.9537) x9

(5)
First-principles (PBE-GGA) data for an optimized crystal structure of Ba3Tb3HoSe8, as listed in Alexandria.

Summary:
DOS at the Fermi energy: 10.500 states/eV per cell

abc: 8.4468 8.4468 22.6128
angles: 90.00 90.00 120.00
Space group R-3m (No. 166, hexagonal axes)
Asymmetric unit:
Ba (0.0000, 0.5000, 0.0000) x9
Tb (0.0000, 0.5000, 0.5000) x9
Ho (0.0000, 0.0000, 0.5000) x3
Se (0.0000, 0.0000, 0.2381) x6
Se (0.0007, 0.5003, 0.2370) x18

(6)
First-principles (PBE-GGA) data for an optimized crystal structure of Ba2HoTlSe5, as listed in Alexandria.

abc: 4.323 19.158 13.498
angles: 90.00 90.00 90.00
Space group Cmc2_1 (No. 36)
Asymmetric unit:
Ba (0.000, 0.120, 0.000) x4
Ba (0.000, 0.136, 0.630) x4
Ho (0.000, 0.211, 0.333) x4
Tl (0.000, 0.454, 0.758) x4
Se (0.000, 0.053, 0.378) x4
Se (0.000, 0.291, 0.971) x4
Se (0.000, 0.312, 0.687) x4
Se (0.000, 0.355, 0.318) x4
Se (0.000, 0.493, 0.080) x4

Across the entries above, ρ takes the values 5.629; 5.570; 5.884; 5.740; 6.009; 6.173 g cm⁻³, respectively.
Across the entries above, formation energy from raw total energies takes the values -1.54; -1.94; -1.77; -1.78; -1.93; -1.52 eV/atom, respectively.
Across the entries above, energy takes the values -174.77; -39.56; -232.40; -233.37; -243.20; -167.60 eV per cell, respectively.